No. 1
! Mn2InBr, relaxed, DFT PBE-GGA; values from VASP
&SYSTEM
  ibrav = 0, nat = 4, ntyp = 3
/
ATOMIC_SPECIES
Mn 54.94 Mn.upf
In 114.82 In.upf
Br 79.90 Br.upf
CELL_PARAMETERS angstrom
4.369 0.000 0.000
0.000 3.453 0.000
-0.137 0.000 5.773
ATOMIC_POSITIONS crystal
Mn 0.000 0.000 0.000
Mn 0.500 0.500 0.500
In 0.000 0.000 0.500
Br 0.500 0.500 0.000
! Magnetization ... 8.2 μB per formula unit
! V ... 21.8 Å³/atom
! Formation energy without anion corrections ... 376 meV per atom
! Uncorrected energy ... -21.25 eV for the cell shown


No. 2
! Mn3InBr, relaxed, DFT PBE-GGA; values from VASP
&SYSTEM
  ibrav = 0, nat = 5, ntyp = 3
/
ATOMIC_SPECIES
Mn 54.94 Mn.upf
In 114.82 In.upf
Br 79.90 Br.upf
CELL_PARAMETERS angstrom
5.272 0.000 0.000
0.000 5.272 0.000
0.000 0.000 5.272
ATOMIC_POSITIONS crystal
Mn 0.000 0.000 0.500
Mn 0.000 0.500 0.000
Mn 0.500 0.000 0.000
In 0.000 0.000 0.000
Br 0.500 0.500 0.500
! Magnetization ... 14.7 μB per formula unit
! V ... 29.3 Å³/atom
! Formation energy without anion corrections ... 942 meV per atom
! Uncorrected energy ... -27.21 eV for the cell shown


No. 3
! Mn2InBr, relaxed, DFT PBE-GGA; values from VASP
&SYSTEM
  ibrav = 0, nat = 4, ntyp = 3
/
ATOMIC_SPECIES
Mn 54.94 Mn.upf
In 114.82 In.upf
Br 79.90 Br.upf
CELL_PARAMETERS angstrom
-1.610 2.860 4.496
1.610 -2.860 4.496
1.610 2.860 -4.496
ATOMIC_POSITIONS crystal
Mn 0.242 0.242 0.000
Mn 0.758 0.758 0.000
In 0.500 0.000 0.500
Br 0.000 0.500 0.500
! Magnetization ... 7.7 μB per formula unit
! V ... 20.7 Å³/atom
! Formation energy without anion corrections ... 394 meV per atom
! Uncorrected energy ... -21.18 eV for the cell shown


No. 4
! Mn2InBr, relaxed, DFT PBE-GGA; values from VASP
&SYSTEM
  ibrav = 0, nat = 4, ntyp = 3
/
ATOMIC_SPECIES
Mn 54.94 Mn.upf
In 114.82 In.upf
Br 79.90 Br.upf
CELL_PARAMETERS angstrom
0.000 3.423 3.423
3.423 0.000 3.423
3.423 3.423 0.000
ATOMIC_POSITIONS crystal
Mn 0.250 0.250 0.250
Mn 0.750 0.750 0.750
In 0.000 0.000 0.000
Br 0.500 0.500 0.500
! Magnetization ... 7.4 μB per formula unit
! V ... 20.1 Å³/atom
! Formation energy without anion corrections ... 559 meV per atom
! Uncorrected energy ... -20.51 eV for the cell shown


No. 5
! MnInBr4, relaxed, DFT PBE-GGA; values from VASP
&SYSTEM
  ibrav = 0, nat = 12, ntyp = 3
/
ATOMIC_SPECIES
Mn 54.94 Mn.upf
In 114.82 In.upf
Br 79.90 Br.upf
CELL_PARAMETERS angstrom
7.294 0.000 0.000
0.000 7.223 0.000
-0.572 0.000 7.067
ATOMIC_POSITIONS crystal
Mn 0.000 0.000 0.000
Mn 0.000 0.500 0.500
In 0.500 0.000 0.500
In 0.500 0.500 0.000
Br 0.132 0.169 0.738
Br 0.132 0.331 0.238
Br 0.302 0.627 0.594
Br 0.302 0.873 0.094
Br 0.698 0.127 0.906
Br 0.698 0.373 0.406
Br 0.868 0.669 0.762
Br 0.868 0.831 0.262
! Magnetization ... 4.0 μB per formula unit
! V ... 31.0 Å³/atom
! Formation energy without anion corrections ... -628 meV per atom
! Uncorrected energy ... -44.74 eV for the cell shown


No. 6
! Mn2InBr, relaxed, DFT PBE-GGA; values from VASP
&SYSTEM
  ibrav = 0, nat = 4, ntyp = 3
/
ATOMIC_SPECIES
Mn 54.94 Mn.upf
In 114.82 In.upf
Br 79.90 Br.upf
CELL_PARAMETERS angstrom
-2.248 2.248 4.011
2.248 -2.248 4.011
2.248 2.248 -4.011
ATOMIC_POSITIONS crystal
Mn 0.250 0.750 0.500
Mn 0.750 0.250 0.500
In 0.000 0.000 0.000
Br 0.500 0.500 0.000
! Magnetization ... 7.8 μB per formula unit
! V ... 20.3 Å³/atom
! Formation energy without anion corrections ... 546 meV per atom
! Uncorrected energy ... -20.57 eV for the cell shown


Please write out number 6 again, unchanged.
! Mn2InBr, relaxed, DFT PBE-GGA; values from VASP
&SYSTEM
  ibrav = 0, nat = 4, ntyp = 3
/
ATOMIC_SPECIES
Mn 54.94 Mn.upf
In 114.82 In.upf
Br 79.90 Br.upf
CELL_PARAMETERS angstrom
-2.248 2.248 4.011
2.248 -2.248 4.011
2.248 2.248 -4.011
ATOMIC_POSITIONS crystal
Mn 0.250 0.750 0.500
Mn 0.750 0.250 0.500
In 0.000 0.000 0.000
Br 0.500 0.500 0.000
! Magnetization ... 7.8 μB per formula unit
! V ... 20.3 Å³/atom
! Formation energy without anion corrections ... 546 meV per atom
! Uncorrected energy ... -20.57 eV for the cell shown


Look up the magnetization of the second one. 14.7 μB per formula unit


Which of these has the highest magnetization? Mn3InBr


What did the first record say?
! Mn2InBr, relaxed, DFT PBE-GGA; values from VASP
&SYSTEM
  ibrav = 0, nat = 4, ntyp = 3
/
ATOMIC_SPECIES
Mn 54.94 Mn.upf
In 114.82 In.upf
Br 79.90 Br.upf
CELL_PARAMETERS angstrom
4.369 0.000 0.000
0.000 3.453 0.000
-0.137 0.000 5.773
ATOMIC_POSITIONS crystal
Mn 0.000 0.000 0.000
Mn 0.500 0.500 0.500
In 0.000 0.000 0.500
Br 0.500 0.500 0.000
! Magnetization ... 8.2 μB per formula unit
! V ... 21.8 Å³/atom
! Formation energy without anion corrections ... 376 meV per atom
! Uncorrected energy ... -21.25 eV for the cell shown